Record 1
Compound: MgMnMo3
Source: Alexandria
Functional: PBE-GGA
Structure: optimized geometry

```
MgMnMo3
1.0
4.511 0.000 0.000
0.000 4.511 0.000
0.000 0.000 4.511
Mg Mn Mo
1 1 3
Direct
0.000 0.000 0.000
0.500 0.500 0.500
0.000 0.500 0.500
0.500 0.000 0.500
0.500 0.500 0.000
```

- crystal system = cubic
- VASP energy (eV per cell) = -38.26
- Fermi-level density of states (states/eV/cell) = 6.37

=====

Record 2
Compound: AlSiPt2
Source: Alexandria
Functional: PBE-GGA
Structure: optimized geometry

```
AlSiPt2
1.0
6.148 0.000 0.000
0.000 6.049 0.000
-0.014 0.000 3.149
Al Si Pt
2 2 4
Direct
0.000 0.000 0.000
0.500 0.500 0.000
0.000 0.500 0.000
0.500 0.000 0.000
0.250 0.250 0.500
0.250 0.750 0.500
0.750 0.250 0.500
0.750 0.750 0.500
```

- crystal system = monoclinic
- ΔE_f (raw) (eV/atom) = -0.5729
- Fermi-level density of states (states/eV/cell) = 2.11